A plane-wave DFT calculation with GGA-PBE was carried out for a relaxed structure of BaSrReHg2.

abc: 5.8839 5.8839 5.6167
angles: 90.00 90.00 90.00
Closest atoms and distances in Å follow each position.
Space group P4/mmm (No. 123)
Asymmetric unit:
Ba (0.0000, 0.0000, 0.0000) [1 per cell]  8 Hg 4.07, 4 Re 4.16
Sr (0.5000, 0.5000, 0.5000) [1 per cell]  2 Re 2.81, 4 Hg 2.94
Re (0.5000, 0.5000, 0.0000) [1 per cell]  2 Sr 2.81
Hg (0.0000, 0.5000, 0.5000) [2 per cell]  2 Sr 2.94

Calculated values
Energy relative to the elements = 22.54 kcal/mol of atoms
Fermi-level density of states = 4.235 states/eV/cell